Material: Ac2TbSi3Rh12
Method: DFT, PBE
State: relaxed

Structure (POSCAR):
```
Ac2TbSi3Rh12
1.0
6.581 -1.502 -1.065
1.944 6.465 -1.065
1.944 1.132 6.453
Ac Tb Si Rh
2 1 3 12
Direct
0.635 0.635 0.635 Ac
0.365 0.365 0.365 Ac
0.000 0.000 0.000 Tb
0.500 0.000 0.000 Si
0.000 0.500 0.000 Si
0.000 0.000 0.500 Si
0.370 0.370 0.916 Rh
0.819 0.819 0.324 Rh
0.324 0.819 0.819 Rh
0.916 0.370 0.370 Rh
0.819 0.324 0.819 Rh
0.370 0.916 0.370 Rh
0.630 0.630 0.084 Rh
0.181 0.181 0.676 Rh
0.676 0.181 0.181 Rh
0.084 0.630 0.630 Rh
0.181 0.676 0.181 Rh
0.630 0.084 0.630 Rh
```

* formation energy without anion corrections: -0.31 eV/atom
* SG: R-3m

Material: AcTbSiRh
Method: DFT, PBE
State: relaxed

Structure (POSCAR):
```
AcTbSiRh
1.0
5.165 0.000 0.000
2.583 4.473 0.000
2.583 1.491 4.217
Rh Ac Tb Si
1 1 1 1
Direct
0.250 0.250 0.250 Rh
0.500 0.500 0.500 Ac
0.000 0.000 0.000 Tb
0.750 0.750 0.750 Si
```

* formation energy without anion corrections: -0.46 eV/atom
* SG: F-43m

Material: Ac4SiTe2Rh
Method: DFT, PBE
State: relaxed

Structure (POSCAR):
```
Ac4SiTe2Rh
1.0
4.541 0.000 0.000
0.000 7.858 0.162
0.000 -2.727 7.823
Ac Si Te Rh
4 1 2 1
Direct
0.500 0.236 0.215 Ac
0.500 0.764 0.785 Ac
0.000 0.249 0.787 Ac
0.000 0.751 0.213 Ac
0.500 0.500 0.000 Si
0.500 0.000 0.500 Te
0.000 0.500 0.500 Te
0.000 0.000 0.000 Rh
```

* formation energy without anion corrections: -1.08 eV/atom
* SG: P2/m

Material: AcTh2Si2Rh7
Method: DFT, PBE
State: relaxed

Structure (POSCAR):
```
AcTh2Si2Rh7
1.0
-2.569 -0.543 -3.222
-1.709 -3.309 1.844
-10.175 6.627 5.344
Ac Th Si Rh
1 2 2 7
Direct
0.000 0.000 0.000 Ac
0.906 0.906 0.352 Th
0.094 0.094 0.648 Th
0.576 0.576 0.742 Si
0.424 0.424 0.258 Si
0.500 0.500 0.000 Rh
0.347 0.347 0.435 Rh
0.653 0.653 0.565 Rh
0.949 0.450 0.174 Rh
0.450 0.949 0.174 Rh
0.550 0.051 0.826 Rh
0.051 0.550 0.826 Rh
```

* formation energy without anion corrections: -0.82 eV/atom
* SG: C2/m

Material: Ac2ThSi3Rh12
Method: DFT, PBE
State: relaxed

Structure (POSCAR):
```
Ac2ThSi3Rh12
1.0
7.538 -0.421 -0.299
3.356 6.762 -0.299
3.356 1.954 6.481
Ac Th Si Rh
2 1 3 12
Direct
0.602 0.602 0.602 Ac
0.398 0.398 0.398 Ac
0.000 0.000 0.000 Th
0.500 0.000 0.000 Si
0.000 0.500 0.000 Si
0.000 0.000 0.500 Si
0.345 0.345 0.905 Rh
0.855 0.855 0.393 Rh
0.393 0.855 0.855 Rh
0.905 0.345 0.345 Rh
0.855 0.393 0.855 Rh
0.345 0.905 0.345 Rh
0.655 0.655 0.095 Rh
0.145 0.145 0.607 Rh
0.607 0.145 0.145 Rh
0.095 0.655 0.655 Rh
0.145 0.607 0.145 Rh
0.655 0.095 0.655 Rh
```

* formation energy without anion corrections: -0.26 eV/atom
* SG: R-3m

Material: Ac2TmSi3Rh12
Method: DFT, PBE
State: relaxed

Structure (POSCAR):
```
Ac2TmSi3Rh12
1.0
6.574 -1.492 -1.058
1.949 6.453 -1.058
1.949 1.135 6.440
Ac Tm Si Rh
2 1 3 12
Direct
0.635 0.635 0.635 Ac
0.365 0.365 0.365 Ac
0.000 0.000 0.000 Tm
0.500 0.000 0.000 Si
0.000 0.500 0.000 Si
0.000 0.000 0.500 Si
0.370 0.370 0.916 Rh
0.820 0.820 0.322 Rh
0.322 0.820 0.820 Rh
0.916 0.370 0.370 Rh
0.820 0.322 0.820 Rh
0.370 0.916 0.370 Rh
0.630 0.630 0.084 Rh
0.180 0.180 0.678 Rh
0.678 0.180 0.180 Rh
0.084 0.630 0.630 Rh
0.180 0.678 0.180 Rh
0.630 0.084 0.630 Rh
```

* formation energy without anion corrections: -0.32 eV/atom
* SG: R-3m

Material: Ac2USi3Rh12
Method: DFT, PBE
State: relaxed

Structure (POSCAR):
```
Ac2USi3Rh12
1.0
-7.307 -1.369 -2.387
-5.121 -2.717 5.231
-5.629 4.816 2.468
Ac U Si Rh
2 1 3 12
Direct
0.606 0.606 0.606 Ac
0.394 0.394 0.394 Ac
0.000 0.000 0.000 U
0.500 0.000 0.000 Si
0.000 0.500 0.000 Si
0.000 0.000 0.500 Si
0.354 0.354 0.901 Rh
0.870 0.870 0.381 Rh
0.381 0.870 0.870 Rh
0.901 0.354 0.354 Rh
0.870 0.381 0.870 Rh
0.354 0.901 0.354 Rh
0.646 0.646 0.099 Rh
0.130 0.130 0.619 Rh
0.619 0.130 0.130 Rh
0.099 0.646 0.646 Rh
0.130 0.619 0.130 Rh
0.646 0.099 0.646 Rh
```

* formation energy without anion corrections: -0.30 eV/atom
* SG: R-3m

Material: Ac2YSi3Rh12
Method: DFT, PBE
State: relaxed

Structure (POSCAR):
```
Ac2YSi3Rh12
1.0
6.580 -1.503 -1.066
1.943 6.464 -1.066
1.943 1.131 6.453
Ac Y Si Rh
2 1 3 12
Direct
0.635 0.635 0.635 Ac
0.365 0.365 0.365 Ac
0.000 0.000 0.000 Y
0.500 0.000 0.000 Si
0.000 0.500 0.000 Si
0.000 0.000 0.500 Si
0.370 0.370 0.916 Rh
0.819 0.819 0.324 Rh
0.324 0.819 0.819 Rh
0.916 0.370 0.370 Rh
0.819 0.324 0.819 Rh
0.370 0.916 0.370 Rh
0.630 0.630 0.084 Rh
0.181 0.181 0.676 Rh
0.676 0.181 0.181 Rh
0.084 0.630 0.630 Rh
0.181 0.676 0.181 Rh
0.630 0.084 0.630 Rh
```

* formation energy without anion corrections: -0.30 eV/atom
* SG: R-3m

Material: Ac2ZnSi4Rh3
Method: DFT, PBE
State: relaxed

Structure (POSCAR):
```
Ac2ZnSi4Rh3
1.0
4.321 0.000 0.000
0.000 4.321 0.000
0.000 0.000 10.132
Ac Zn Si Rh
2 1 4 3
Direct
0.500 0.000 0.247 Ac
0.000 0.500 0.753 Ac
0.500 0.500 0.500 Zn
0.500 0.500 0.000 Si
0.000 0.000 0.000 Si
0.500 0.000 0.633 Si
0.000 0.500 0.367 Si
0.000 0.000 0.500 Rh
0.500 0.000 0.881 Rh
0.000 0.500 0.119 Rh
```

* formation energy without anion corrections: -0.80 eV/atom
* SG: P-4m2

Material: AcSmRh2
Method: DFT, PBE
State: relaxed

Structure (POSCAR):
```
AcSmRh2
1.0
-0.119 3.209 -2.382
1.023 -2.468 -3.376
-5.396 -2.536 0.218
Ac Sm Rh
1 1 2
Direct
0.442 0.500 0.422 Ac
0.719 0.000 0.978 Sm
0.170 0.500 0.880 Rh
0.000 0.000 0.538 Rh
```

* polymorph energy (0 for the lowest one): 0.000 eV per atom
* SG: Pm

Material: Ac3Sm4Rh4
Method: DFT, PBE
State: relaxed

Structure (POSCAR):
```
Ac3Sm4Rh4
1.0
4.075 0.000 0.000
0.000 9.157 0.000
-2.038 -4.578 8.174
Ac Sm Rh
3 4 4
Direct
0.103 0.103 0.207 Ac
0.897 0.897 0.793 Ac
0.000 0.500 0.000 Ac
0.331 0.142 0.661 Sm
0.669 0.481 0.339 Sm
0.669 0.858 0.339 Sm
0.331 0.519 0.661 Sm
0.243 0.743 0.486 Rh
0.757 0.257 0.514 Rh
0.500 0.766 0.000 Rh
0.500 0.234 0.000 Rh
```

* energy: -6.0380 eV per atom
* SG: Immm

Material: Ac5SmRh3
Method: DFT, PBE
State: relaxed

Structure (POSCAR):
```
Ac5SmRh3
1.0
4.377 0.000 0.000
0.000 6.997 -0.242
0.000 0.113 21.027
Ac Sm Rh
10 2 6
Direct
0.500 0.801 0.735 Ac
0.500 0.827 0.075 Ac
0.500 0.757 0.388 Ac
0.000 0.673 0.905 Ac
0.000 0.735 0.560 Ac
0.000 0.265 0.440 Ac
0.000 0.327 0.095 Ac
0.500 0.173 0.925 Ac
0.500 0.243 0.612 Ac
0.500 0.199 0.265 Ac
0.000 0.704 0.231 Sm
0.000 0.296 0.769 Sm
0.000 0.000 0.000 Rh
0.000 0.015 0.669 Rh
0.000 0.985 0.331 Rh
0.500 0.484 0.831 Rh
0.500 0.500 0.500 Rh
0.500 0.516 0.169 Rh
```

* energy: -5.7917 eV per atom
* SG: P2/m

Material: Ac8SmRh6
Method: DFT, PBE
State: relaxed

Structure (POSCAR):
```
Ac8SmRh6
1.0
-2.400 -3.967 5.879
3.634 0.418 6.533
-5.464 6.487 6.914
Ac Sm Rh
8 1 6
Direct
0.775 0.442 0.675 Ac
0.892 0.225 0.325 Ac
0.558 0.892 0.325 Ac
0.333 0.333 0.000 Ac
0.667 0.667 0.000 Ac
0.442 0.108 0.675 Ac
0.108 0.775 0.675 Ac
0.225 0.558 0.325 Ac
0.000 0.000 0.000 Sm
0.942 0.615 0.175 Rh
0.732 0.058 0.825 Rh
0.385 0.732 0.825 Rh
0.615 0.268 0.175 Rh
0.268 0.942 0.175 Rh
0.058 0.385 0.825 Rh
```

* energy: -6.0390 eV per atom
* SG: R-3

Material: AcSmRh2
Method: DFT, PBE
State: relaxed

Structure (POSCAR):
```
AcSmRh2
1.0
-2.152 -2.841 -1.997
-1.656 -3.123 2.048
-7.241 1.834 1.016
Ac Sm Rh
1 1 2
Direct
0.497 0.497 0.508 Ac
0.669 0.669 0.993 Sm
0.081 0.081 0.756 Rh
0.252 0.252 0.243 Rh
```

* polymorph energy (0 for the lowest one): 0.219 eV per atom
* SG: R3m

Material: AcSm2Rh
Method: DFT, PBE
State: relaxed

Structure (POSCAR):
```
AcSm2Rh
1.0
6.609 0.000 0.000
0.000 7.453 0.000
0.000 0.000 10.044
Ac Sm Rh
4 8 4
Direct
0.643 0.539 0.250 Ac
0.857 0.039 0.250 Ac
0.357 0.461 0.750 Ac
0.143 0.961 0.750 Ac
0.168 0.673 0.068 Sm
0.332 0.173 0.432 Sm
0.832 0.327 0.568 Sm
0.668 0.827 0.932 Sm
0.832 0.327 0.932 Sm
0.668 0.827 0.568 Sm
0.168 0.673 0.432 Sm
0.332 0.173 0.068 Sm
0.085 0.381 0.250 Rh
0.415 0.881 0.250 Rh
0.915 0.619 0.750 Rh
0.585 0.119 0.750 Rh
```

* polymorph energy (0 for the lowest one): 0.000 eV per atom
* SG: Pnma

Material: Ac2SmRh2
Method: DFT, PBE
State: relaxed

Structure (POSCAR):
```
Ac2SmRh2
1.0
-0.854 4.180 0.481
0.208 0.720 -5.893
-5.692 -3.638 2.348
Ac Sm Rh
2 1 2
Direct
0.674 0.674 0.349 Ac
0.326 0.326 0.651 Ac
0.000 0.000 0.000 Sm
0.349 0.849 0.697 Rh
0.651 0.151 0.303 Rh
```

* polymorph energy (0 for the lowest one): 0.010 eV per atom
* SG: Immm

Material: Ac3SmRh2
Method: DFT, PBE
State: relaxed

Structure (POSCAR):
```
Ac3SmRh2
1.0
4.403 0.000 0.000
2.202 8.811 0.309
2.202 2.408 10.668
Ac Sm Rh
6 2 4
Direct
0.053 0.123 0.771 Ac
0.947 0.877 0.229 Ac
0.666 0.691 0.977 Ac
0.334 0.309 0.023 Ac
0.786 0.828 0.600 Ac
0.214 0.172 0.400 Ac
0.427 0.482 0.664 Sm
0.573 0.518 0.336 Sm
0.864 0.434 0.837 Rh
0.136 0.566 0.163 Rh
0.616 0.195 0.573 Rh
0.384 0.805 0.427 Rh
```

* energy: -5.8219 eV per atom
* SG: C2/m

Material: Ac3SmRh
Method: DFT, PBE
State: relaxed

Structure (POSCAR):
```
Ac3SmRh
1.0
5.846 0.000 0.000
0.000 5.846 0.000
0.000 0.000 5.846
Ac Rh Sm
3 1 1
Direct
0.000 0.500 0.000 Ac
0.000 0.000 0.500 Ac
0.500 0.000 0.000 Ac
0.000 0.000 0.000 Rh
0.500 0.500 0.500 Sm
```

* energy: -5.0527 eV per atom
* SG: Pm-3m

Material: AcSmRh2
Method: DFT, PBE
State: relaxed

Structure (POSCAR):
```
AcSmRh2
1.0
3.589 0.000 0.000
0.000 3.589 0.000
0.000 0.000 7.273
Ac Rh Sm
1 2 1
Direct
0.500 0.500 0.500 Ac
0.000 0.000 0.772 Rh
0.000 0.000 0.228 Rh
0.500 0.500 0.000 Sm
```

* polymorph energy (0 for the lowest one): 0.085 eV per atom
* SG: P4/mmm

Material: Ac3SmRh8
Method: DFT, PBE
State: relaxed

Structure (POSCAR):
```
Ac3SmRh8
1.0
5.271 0.000 1.591
2.395 4.695 1.591
-0.012 -0.007 9.566
Ac Sm Rh
3 1 8
Direct
0.376 0.376 0.873 Ac
0.998 0.998 0.005 Ac
0.502 0.502 0.495 Ac
0.874 0.874 0.378 Sm
0.936 0.436 0.192 Rh
0.440 0.938 0.683 Rh
0.436 0.436 0.192 Rh
0.938 0.938 0.683 Rh
0.188 0.188 0.436 Rh
0.688 0.688 0.937 Rh
0.436 0.936 0.192 Rh
0.938 0.440 0.683 Rh
```

* energy: -6.9150 eV per atom
* SG: R3m

Material: AcSm3Rh2
Method: DFT, PBE
State: relaxed

Structure (POSCAR):
```
AcSm3Rh2
1.0
5.102 0.000 0.000
-2.551 9.079 -0.508
0.000 -4.607 7.339
Ac Sm Rh
2 6 4
Direct
0.872 0.743 0.955 Ac
0.128 0.257 0.045 Ac
0.313 0.626 0.614 Sm
0.931 0.862 0.588 Sm
0.631 0.261 0.750 Sm
0.369 0.739 0.250 Sm
0.069 0.138 0.412 Sm
0.687 0.374 0.386 Sm
0.497 0.994 0.833 Rh
0.503 0.006 0.167 Rh
0.776 0.552 0.190 Rh
0.224 0.448 0.810 Rh
```

* energy: -5.9052 eV per atom
* SG: C2/m

| no. | calculated density (Mg/m³) |
| --- | --- |
| 1 | 10.17 |
| 2 | 8.81 |
| 3 | 7.64 |
| 4 | 10.73 |
| 5 | 9.54 |
| 6 | 10.28 |
| 7 | 9.50 |
| 8 | 9.80 |
| 9 | 8.25 |
| 10 | 10.01 |
| 11 | 9.22 |
| 12 | 8.22 |
| 13 | 8.79 |
| 14 | 9.36 |
| 15 | 8.47 |
| 16 | 8.59 |
| 17 | 8.39 |
| 18 | 7.76 |
| 19 | 10.34 |
| 20 | 11.60 |
| 21 | 8.95 |